Entry 1:
Here is a relaxed Ta2MoPd crystal from Alexandria via LeMat-Bulk. Energies are from PBE.

a b c (Å): 3.9557 3.9557 18.7543
angles (deg): 90.00 90.00 90.00
Space group I-42d (No. 122)
Unique sites:
Ta: 0.2438 0.2500 0.1250 (multiplicity 8)
Mo: 0.0000 0.0000 0.0000 (multiplicity 4)
Pd: 0.0000 0.0000 0.5000 (multiplicity 4)

Properties
Total magnetic moment ... 0.00 μB per cell
Energy of formation ... 0.61 eV per atom

---

Entry 2:
Here is a relaxed RbTlSb3 crystal from Alexandria via LeMat-Bulk. Energies are from PBE.

a b c (Å): 6.1194 6.1194 6.1194
angles (deg): 90.00 90.00 90.00
Space group Pm-3m (No. 221)
Unique sites:
Rb: 0.0000 0.0000 0.0000 (multiplicity 1)
Tl: 0.5000 0.5000 0.5000 (multiplicity 1)
Sb: 0.0000 0.0000 0.5000 (multiplicity 3)

Properties
Total magnetic moment ... 0.00 μB per cell
Formation energy without anion corrections ... 1.130 eV per atom
Distance to the lowest polymorph of the same formula ... 1266 meV/atom

---

Entry 3:
Here is a relaxed YInBr2 crystal from Alexandria via LeMat-Bulk. Energies are from PBE.

a b c (Å): 3.7327 6.5084 10.5796
angles (deg): 90.00 90.00 90.00
Space group Cmmm (No. 65)
Unique sites:
Y: 0.0000 0.0000 0.0000 (multiplicity 2)
In: 0.0000 0.0000 0.5000 (multiplicity 2)
Br: 0.0000 0.5000 0.2048 (multiplicity 4)

Properties
Total magnetic moment ... 0.00 μB per cell
Formation energy without anion corrections ... -0.894 eV per atom
Distance to the lowest polymorph of the same formula ... 146 meV/atom

---

Entry 4:
Here is a relaxed LiBeS crystal from Alexandria via LeMat-Bulk. Energies are from PBE.

a b c (Å): 3.6270 4.3159 12.0808
angles (deg): 90.00 90.00 90.00
Space group Immm (No. 71)
Unique sites:
Li: 0.0000 0.0000 0.1523 (multiplicity 4)
Be: 0.0000 0.2560 0.5000 (multiplicity 4)
S: 0.0000 0.0000 0.3609 (multiplicity 4)

Properties
Total magnetic moment ... 0.00 μB per cell
Formation energy without anion corrections ... -0.673 eV per atom